[1]
Entry from Alexandria via LeMat-Bulk: a geometry-optimized TbPr2Au4 structure (PBE).

## Properties
* ΔE_f: -318 meV/atom
* uncorrected energy: -0.155 hartree per atom
* V: 31.16 Å³/atom

Cell lengths 5.3482, 5.3482, 15.2506 Å; angles 90.00, 90.00, 90.00 degrees
Space group I4/mmm (No. 139)
Symmetry-distinct sites (fractional):
1 Tb 0.0000 0.0000 0.0000 x2
2 Pr 0.0000 0.0000 0.3784 x4
3 Au 0.0000 0.0000 0.1845 x4
4 Au 0.0000 0.5000 0.0000 x4

[2]
Entry from Alexandria via LeMat-Bulk: a geometry-optimized CePr2DyY5 structure (PBE).

## Properties
* ΔE_f: 259 meV/atom
* uncorrected energy: -0.205 hartree per atom
* V: 32.78 Å³/atom

Cell lengths 8.6384, 8.6384, 15.8129 Å; angles 90.00, 90.00, 90.00 degrees
Space group I4/mcm (No. 140)
Symmetry-distinct sites (fractional):
1 Ce 0.0000 0.5000 0.2500 x4
2 Pr 0.1207 0.3793 0.0000 x8
3 Dy 0.0000 0.0000 0.2500 x4
4 Y 0.0000 0.0000 0.0000 x4
5 Y 0.2041 0.2959 0.3587 x16

[3]
Entry from Alexandria via LeMat-Bulk: a geometry-optimized PmTlSiS4 structure (PBE).

## Properties
* formation energy without anion corrections: -1.180 eV per atom
* uncorrected energy: -0.196 hartree per atom
* V: 25.92 Å³/atom

Cell lengths 6.5437, 6.5762, 8.8186 Å; angles 90.00, 107.01, 90.00 degrees
Space group P2_1/m (No. 11)
Symmetry-distinct sites (fractional):
1 Pm 0.2320 0.2500 0.0529 x2
2 Tl 0.2650 0.2500 0.5699 x2
3 Si 0.2202 0.7500 0.8228 x2
4 S 0.0050 0.0023 0.7853 x4
5 S 0.4062 0.7500 0.0665 x2
6 S 0.4141 0.7500 0.6693 x2

[4]
Entry from Alexandria via LeMat-Bulk: a geometry-optimized AcLaGe structure (PBE).

## Properties
* ΔE_f: -487 meV/atom
* uncorrected energy: -0.185 hartree per atom
* V: 34.55 Å³/atom

Cell lengths 7.4564, 7.4564, 7.4564 Å; angles 90.00, 90.00, 90.00 degrees
Space group F-43m (No. 216)
Symmetry-distinct sites (fractional):
1 Ac 0.0000 0.0000 0.0000 x4
2 La 0.0000 0.0000 0.5000 x4
3 Ge 0.2500 0.2500 0.2500 x4

[5]
Entry from Alexandria via LeMat-Bulk: a geometry-optimized Ti3MoPt structure (PBE).

## Properties
* ΔE_f: -387 meV/atom
* uncorrected energy: -0.312 hartree per atom
* V: 16.34 Å³/atom

Cell lengths 6.2579, 6.2579, 6.2579 Å; angles 90.00, 90.00, 90.00 degrees
Space group Pm-3m (No. 221)
Symmetry-distinct sites (fractional):
1 Ti 0.0000 0.0000 0.0000 x1
2 Ti 0.2568 0.2568 0.2568 x8
3 Mo 0.0000 0.5000 0.5000 x3
4 Pt 0.0000 0.0000 0.5000 x3

[6]
Entry from Alexandria via LeMat-Bulk: a geometry-optimized Ho6In3Hg structure (PBE).

## Properties
* ΔE_f: -359 meV/atom
* uncorrected energy: -0.145 hartree per atom
* V: 27.15 Å³/atom

Cell lengths 9.2656, 5.3063, 11.6118 Å; angles 90.00, 107.97, 90.00 degrees
Space group P2_1/m (No. 11)
Symmetry-distinct sites (fractional):
1 Ho 0.0389 0.2500 0.4135 x2
2 Ho 0.1611 0.7500 0.1734 x2
3 Ho 0.2591 0.2500 0.0011 x2
4 Ho 0.3434 0.7500 0.8079 x2
5 Ho 0.3641 0.2500 0.3326 x2
6 Ho 0.4028 0.2500 0.6218 x2
7 In 0.0282 0.7500 0.8813 x2
8 In 0.1214 0.2500 0.7145 x2
9 In 0.2771 0.7500 0.4714 x2
10 Hg 0.4538 0.7500 0.1065 x2

[7]
Entry from Alexandria via LeMat-Bulk: a geometry-optimized ZrTe2Cl structure (PBE).

## Properties
* formation energy without anion corrections: -0.252 eV per atom
* uncorrected energy: -0.162 hartree per atom
* V: 23.96 Å³/atom

Cell lengths 7.2646, 7.2646, 7.2646 Å; angles 90.00, 90.00, 90.00 degrees
Space group F-43m (No. 216)
Symmetry-distinct sites (fractional):
1 Zr 0.0000 0.0000 0.0000 x4
2 Te 0.0000 0.0000 0.5000 x4
3 Te 0.2500 0.2500 0.2500 x4
4 Cl 0.2500 0.2500 0.7500 x4

[8]
Entry from Alexandria via LeMat-Bulk: a geometry-optimized Al2CdAs structure (PBE).

## Properties
* ΔE_f: 52 meV/atom
* uncorrected energy: -0.118 hartree per atom
* V: 20.01 Å³/atom

Cell lengths 2.7710, 3.7383, 7.7251 Å; angles 90.00, 90.00, 90.00 degrees
Space group Pmmm (No. 47)
Symmetry-distinct sites (fractional):
1 Al 0.0000 0.0000 0.2446 x2
2 Cd 0.5000 0.5000 0.5000 x1
3 As 0.0000 0.5000 0.0000 x1

[9]
Entry from Alexandria via LeMat-Bulk: a geometry-optimized CrCoS2 structure (PBE).

## Properties
* formation energy without anion corrections: 0.052 eV per atom
* uncorrected energy: -0.228 hartree per atom
* V: 12.19 Å³/atom

Cell lengths 5.7988, 5.7988, 5.7988 Å; angles 90.00, 90.00, 90.00 degrees
Space group Fm-3m (No. 225)
Symmetry-distinct sites (fractional):
1 Cr 0.0000 0.0000 0.0000 x4
2 Co 0.0000 0.0000 0.5000 x4
3 S 0.2500 0.2500 0.2500 x8

[10]
Entry from Alexandria via LeMat-Bulk: a geometry-optimized ZrScH4 structure (PBE).

## Properties
* uncorrected energy: -0.197 hartree per atom
* V: 9.04 Å³/atom

Cell lengths 4.7912, 4.7912, 9.4468 Å; angles 90.00, 90.00, 90.00 degrees
Space group I4_1/amd (No. 141, origin choice 2)
Symmetry-distinct sites (fractional):
1 Zr 0.0000 0.2500 0.3750 x4
2 Sc 0.0000 0.2500 0.8750 x4
3 H 0.2497 0.0000 0.0000 x16

[11]
Entry from Alexandria via LeMat-Bulk: a geometry-optimized KOsO4 structure (PBE).

## Properties
* formation energy without anion corrections: -1.274 eV per atom
* uncorrected energy: -0.244 hartree per atom
* V: 19.24 Å³/atom

Cell lengths 7.7042, 7.9339, 9.4523 Å; angles 90.00, 126.93, 90.00 degrees
Space group P2_1/c (No. 14)
Symmetry-distinct sites (fractional):
1 K 0.1776 0.1517 0.2783 x4
2 Os 0.3065 0.6645 0.1898 x4
3 O 0.1178 0.6682 0.6075 x4
4 O 0.1986 0.5070 0.2487 x4
5 O 0.3278 0.6217 0.0172 x4
6 O 0.4223 0.1961 0.1247 x4

[12]
Entry from Alexandria via LeMat-Bulk: a geometry-optimized PaFeP2Os structure (PBE).

## Properties
* ΔE_f: -778 meV/atom
* uncorrected energy: -0.323 hartree per atom
* V: 14.98 Å³/atom

Cell lengths 3.9529, 3.9529, 9.5887 Å; angles 90.00, 90.00, 90.00 degrees
Space group I-4m2 (No. 119)
Symmetry-distinct sites (fractional):
1 Pa 0.0000 0.0000 0.0000 x2
2 Fe 0.0000 0.5000 0.7500 x2
3 P 0.0000 0.0000 0.3779 x4
4 Os 0.0000 0.5000 0.2500 x2